# LiMnCr2F8 | Alexandria via LeMat-Bulk | GGA+U | relaxed
data_LiMnCr2F8
_cell_length_a 6.658
_cell_length_b 6.835
_cell_length_c 6.530
_cell_angle_alpha 90.00
_cell_angle_beta 90.00
_cell_angle_gamma 90.00
_space_group_name_H-M_alt 'C m m m'
_space_group_IT_number 65
_space_group_name_Hall '-C 2 2'
loop_
_atom_site_label
_atom_site_type_symbol
_atom_site_fract_x
_atom_site_fract_y
_atom_site_fract_z
Li1 Li 0.000 0.000 0.000
Mn1 Mn 0.000 0.000 0.500
Cr1 Cr 0.000 0.500 0.242
F1 F 0.000 0.310 0.000
F2 F 0.000 0.317 0.500
F3 F 0.203 0.000 0.248
# total DFT energy (no corrections): -143.68 eV for the cell shown
# D(E_F): 4.77 states/eV per cell